DFT (GGA+U) results for Ba2TaCoO6 after structural relaxation.

Values from the calculation:
total magnetization	7.995	μB per cell
E_tot	-7.39	eV/atom

a = 5.5523 Å, b = 5.5523 Å, c = 11.1573 Å
α = 90.00°, β = 90.00°, γ = 120.00°
With the nearest neighbours (Å) after each atom.
Fractional positions:
Co 0.6667 0.3333 0.7500  6 O 2.04
Co 0.3333 0.6667 0.2500  6 O 2.04
O 0.2281 0.3302 0.1434  1 Ta 2.01, 1 Co 2.04
Ba 0.6667 0.3333 0.4392  6 O 2.60-2.82
O 0.3302 0.2281 0.6434  1 Ta 2.01, 1 Co 2.04
O 0.7719 0.6698 0.8566  1 Ta 2.01, 1 Co 2.04
O 0.1022 0.3302 0.3566  1 Ta 2.01, 1 Co 2.04
O 0.8978 0.6698 0.6434  1 Ta 2.01, 1 Co 2.04
O 0.7719 0.1022 0.6434  1 Ta 2.01, 1 Co 2.04
Ba 0.3333 0.6667 0.9392  6 O 2.60-2.82
O 0.2281 0.8978 0.3566  1 Ta 2.01, 1 Co 2.04
Ta 0.0000 0.0000 0.7500  6 O 2.01
O 0.6698 0.8978 0.1434  1 Ta 2.01, 1 Co 2.04
O 0.8978 0.2281 0.8566  1 Ta 2.01, 1 Co 2.04
Ta 0.0000 0.0000 0.2500  6 O 2.01
O 0.3302 0.1022 0.8566  1 Ta 2.01, 1 Co 2.04
O 0.1022 0.7719 0.1434  1 Ta 2.01, 1 Co 2.04
O 0.6698 0.7719 0.3566  1 Ta 2.01, 1 Co 2.04
Ba 0.3333 0.6667 0.5608  6 O 2.60-2.82
Ba 0.6667 0.3333 0.0608  6 O 2.60-2.82